# 1
Below is a relaxed structure of TcH2Os2, with properties calculated at the PBE-GGA level.

Lattice parameters (Å, degrees): 5.997 5.997 2.833 90.00 90.00 90.00
Space group P4/mbm (No. 127)
One atom of each set of equivalent atoms:
Tc (0.000, 0.000, 0.000) x2
H (0.216, 0.284, 0.000) x4
Os (0.144, 0.644, 0.500) x4

## Properties
Total moment = 0.00 μB per formula unit
E = -74.7 eV for the cell shown

# 2
Below is a relaxed structure of K2BaReI, with properties calculated at the PBE-GGA level.

Lattice parameters (Å, degrees): 6.385 6.385 5.570 90.00 90.00 90.00
Space group P4/mmm (No. 123)
One atom of each set of equivalent atoms:
K (0.000, 0.500, 0.000) x2
Ba (0.000, 0.000, 0.500) x1
Re (0.000, 0.000, 0.000) x1
I (0.500, 0.500, 0.500) x1

## Properties
Raw formation energy = 296 kJ/mol of formula units
Total moment = 1.33 μB per formula unit
E = -15.1 eV for the cell shown